Fe2CuRu2: relaxed, PBE-GGA.

a = 6.9863 Å, b = 6.9863 Å, c = 2.6302 Å
α = 90.00°, β = 90.00°, γ = 90.00°
Sites, in units of the cell vectors:
1 Fe 0.1194 0.3806 0.0000
2 Fe 0.3806 0.8806 0.0000
3 Fe 0.6194 0.1194 0.0000
4 Fe 0.8806 0.6194 0.0000
5 Cu 0.0000 0.0000 0.0000
6 Cu 0.5000 0.5000 0.0000
7 Ru 0.1735 0.6735 0.5000
8 Ru 0.3265 0.1735 0.5000
9 Ru 0.6735 0.8265 0.5000
10 Ru 0.8265 0.3265 0.5000

Values from the calculation:
Energy of formation (eV per atom): 0.32
E above lowest polymorph (eV per atom): 0.000
Spin magnetization (μB per formula unit): 0.0